1.
! LaSmZnCu, optimized geometry, DFT PBE; values from VASP
&SYSTEM
  ibrav = 0, nat = 4, ntyp = 4
/
ATOMIC_SPECIES
La 138.91 La.upf
Zn 65.41 Zn.upf
Cu 63.55 Cu.upf
Sm 150.36 Sm.upf
CELL_PARAMETERS angstrom
5.180 0.000 0.000
2.590 4.486 0.000
2.590 1.495 4.229
ATOMIC_POSITIONS angstrom
La 5.180 2.990 2.115
Zn 7.770 4.486 3.172
Cu 2.590 1.495 1.057
Sm 0.000 0.000 0.000
! - formation energy (eV per atom) = -0.218
! - relative energy among the computed polymorphs (eV per atom) = 0.013

***

2.
! Mg12In3Pd, optimized geometry, DFT PBE; values from VASP
&SYSTEM
  ibrav = 0, nat = 16, ntyp = 3
/
ATOMIC_SPECIES
In 114.82 In.upf
Mg 24.30 Mg.upf
Pd 106.42 Pd.upf
CELL_PARAMETERS angstrom
4.475 0.000 0.000
0.000 4.475 0.000
0.000 0.000 17.280
ATOMIC_POSITIONS angstrom
In 0.000 0.000 13.137
In 0.000 0.000 8.640
In 0.000 0.000 4.143
Mg 2.237 2.237 8.640
Mg 2.237 2.237 13.150
Mg 2.237 0.000 6.388
Mg 0.000 2.237 10.892
Mg 0.000 2.237 6.388
Mg 0.000 2.237 1.876
Mg 0.000 2.237 15.404
Mg 2.237 0.000 1.876
Mg 2.237 2.237 4.130
Mg 2.237 2.237 0.000
Mg 2.237 0.000 15.404
Mg 2.237 0.000 10.892
Pd 0.000 0.000 0.000
! - formation energy (eV per atom) = -0.146

***

3.
! PaTe2AuN, optimized geometry, DFT PBE; values from VASP
&SYSTEM
  ibrav = 0, nat = 10, ntyp = 4
/
ATOMIC_SPECIES
Pa 231.04 Pa.upf
Au 196.97 Au.upf
Te 127.60 Te.upf
N 14.01 N.upf
CELL_PARAMETERS angstrom
-3.428 0.920 -1.900
-2.064 -0.700 3.385
1.573 13.700 3.794
ATOMIC_POSITIONS angstrom
Pa -0.801 8.407 1.251
Pa -0.372 5.402 3.285
Au 0.377 11.919 5.090
Au -1.550 1.891 -0.554
Te -1.239 4.594 0.195
Te -0.288 12.875 2.488
Te 0.066 9.216 4.342
Te -0.885 0.934 2.048
N 0.787 6.850 1.897
N -1.959 6.960 2.639
! - formation energy from raw total energies (eV per atom) = -0.896

***

4.
! Ho6Bi5Pb, optimized geometry, DFT PBE; values from VASP
&SYSTEM
  ibrav = 0, nat = 12, ntyp = 3
/
ATOMIC_SPECIES
Bi 208.98 Bi.upf
Ho 164.93 Ho.upf
Pb 207.20 Pb.upf
CELL_PARAMETERS angstrom
7.576 -0.122 -1.428
-4.097 6.374 -1.428
0.154 0.277 7.733
ATOMIC_POSITIONS angstrom
Bi 5.688 1.110 2.438
Bi 1.817 3.265 2.438
Bi -0.199 4.205 -1.428
Bi -2.054 5.419 2.438
Bi 3.679 2.047 -1.428
Ho 4.665 3.836 3.669
Ho 2.657 4.775 -0.221
Ho -1.031 2.693 1.207
Ho 0.801 5.987 3.669
Ho 2.832 0.543 1.207
Ho 0.976 1.754 5.097
Pb 0.000 0.000 0.000
! - formation energy (eV per atom) = -0.749

***

5.
! CsSmOs2O8, optimized geometry, DFT PBE; values from VASP
&SYSTEM
  ibrav = 0, nat = 12, ntyp = 4
/
ATOMIC_SPECIES
O 16.00 O.upf
Os 190.23 Os.upf
Sm 150.36 Sm.upf
Cs 132.91 Cs.upf
CELL_PARAMETERS angstrom
-5.020 0.065 3.474
0.587 -4.150 -4.439
3.749 -5.372 5.519
ATOMIC_POSITIONS angstrom
O 2.123 -7.010 0.603
O 2.271 -7.836 3.428
O -2.955 -1.621 1.125
O 1.841 -5.000 2.752
O -0.377 -2.480 2.267
O -2.525 -4.457 1.802
O -0.307 -6.977 2.286
O -2.807 -2.447 3.950
Os -2.180 -2.732 2.266
Os 1.496 -6.725 2.288
Sm 1.874 -2.686 2.759
Cs 0.000 0.000 0.000
! - formation energy from raw total energies (eV per atom) = -1.547

***

6.
! Ta2CuBr, optimized geometry, DFT PBE; values from VASP
&SYSTEM
  ibrav = 0, nat = 4, ntyp = 3
/
ATOMIC_SPECIES
Cu 63.55 Cu.upf
Ta 180.95 Ta.upf
Br 79.90 Br.upf
CELL_PARAMETERS angstrom
4.686 0.000 0.000
0.000 2.906 0.319
0.000 0.608 5.199
ATOMIC_POSITIONS angstrom
Cu 2.343 2.529 4.212
Ta 2.343 1.302 1.559
Ta 0.000 0.802 5.148
Br 0.000 1.247 2.557
! - formation energy from raw total energies (eV per atom) = 0.532
! - relative energy among the computed polymorphs (eV per atom) = 0.264

***

7.
! NdScUO6, optimized geometry, DFT PBE; values from VASP
&SYSTEM
  ibrav = 0, nat = 18, ntyp = 4
/
ATOMIC_SPECIES
O 16.00 O.upf
Sc 44.96 Sc.upf
Nd 144.24 Nd.upf
U 238.03 U.upf
CELL_PARAMETERS angstrom
5.601 0.000 0.000
-2.801 4.851 0.000
0.000 0.000 9.922
ATOMIC_POSITIONS angstrom
O 0.978 1.740 8.535
O 1.018 1.717 3.574
O 3.606 0.023 3.574
O 1.995 0.023 1.387
O 4.584 1.717 1.387
O 1.823 3.111 1.387
O -0.805 4.828 6.349
O -0.978 1.740 6.349
O 3.779 3.111 3.574
O 1.783 3.134 6.349
O 0.805 4.828 8.535
O -1.783 3.134 8.535
Sc 0.000 3.234 2.481
Sc 2.801 1.617 7.442
Nd 0.000 0.000 4.961
Nd 0.000 0.000 0.000
U 0.000 3.234 7.442
U 2.801 1.617 2.481
! - formation energy from raw total energies (eV per atom) = -3.338

***

8.
! Ac4Al2Zn5, optimized geometry, DFT PBE; values from VASP
&SYSTEM
  ibrav = 0, nat = 11, ntyp = 3
/
ATOMIC_SPECIES
Ac 227.00 Ac.upf
Zn 65.41 Zn.upf
Al 26.98 Al.upf
CELL_PARAMETERS angstrom
3.987 0.000 0.000
0.000 8.173 0.883
0.000 0.347 9.282
ATOMIC_POSITIONS angstrom
Ac 1.993 6.291 1.960
Ac 1.993 6.138 6.857
Ac 1.993 2.229 8.205
Ac 1.993 2.382 3.308
Zn 0.000 3.408 5.964
Zn 0.000 0.741 1.206
Zn 0.000 7.779 8.958
Zn 0.000 5.112 4.200
Zn 0.000 4.086 0.441
Al 0.000 7.698 4.410
Al 0.000 0.822 5.754
! - formation energy (eV per atom) = -0.237

***

9.
! YInRe, optimized geometry, DFT PBE; values from VASP
&SYSTEM
  ibrav = 0, nat = 3, ntyp = 3
/
ATOMIC_SPECIES
Re 186.21 Re.upf
Y 88.91 Y.upf
In 114.82 In.upf
CELL_PARAMETERS angstrom
4.728 0.000 0.000
2.364 4.094 0.000
2.364 1.365 3.860
ATOMIC_POSITIONS angstrom
Re 7.092 4.094 2.895
Y 0.000 0.000 0.000
In 4.728 2.730 1.930
! - formation energy (eV per atom) = 0.567
! - relative energy among the computed polymorphs (eV per atom) = 0.353

***

10.
! HfFe2SiC, optimized geometry, DFT PBE; values from VASP
&SYSTEM
  ibrav = 0, nat = 10, ntyp = 4
/
ATOMIC_SPECIES
Si 28.09 Si.upf
C 12.01 C.upf
Fe 55.84 Fe.upf
Hf 178.49 Hf.upf
CELL_PARAMETERS angstrom
3.523 0.000 0.000
-1.762 5.182 0.000
0.000 0.000 6.609
ATOMIC_POSITIONS angstrom
Si 1.762 2.413 4.957
Si 0.000 2.769 1.652
C 0.000 0.000 3.305
C 0.000 0.000 0.000
Fe 0.000 1.709 6.232
Fe 1.762 3.474 2.927
Fe 0.000 1.709 3.683
Fe 1.762 3.474 0.378
Hf 0.000 4.694 4.957
Hf 1.762 0.488 1.652
! - formation energy from raw total energies (eV per atom) = -0.518

***

11.
! Ce2PuSn2, optimized geometry, DFT PBE; values from VASP
&SYSTEM
  ibrav = 0, nat = 10, ntyp = 3
/
ATOMIC_SPECIES
Ce 140.12 Ce.upf
Pu 244.00 Pu.upf
Sn 118.71 Sn.upf
CELL_PARAMETERS angstrom
-2.990 1.800 2.192
-0.158 -2.259 5.526
5.867 9.881 3.744
ATOMIC_POSITIONS angstrom
Ce 3.036 5.292 3.664
Ce -0.318 4.129 7.799
Ce 2.858 8.247 8.743
Ce -0.139 1.174 2.720
Pu 2.509 7.859 4.702
Pu 0.210 1.563 6.761
Sn 2.528 10.398 6.515
Sn 0.190 -0.977 4.948
Sn 0.035 3.987 4.520
Sn 2.683 5.435 6.943
! - formation energy (eV per atom) = -0.446
! - relative energy among the computed polymorphs (eV per atom) = 0.022

***

12.
! PaTiB4, optimized geometry, DFT PBE; values from VASP
&SYSTEM
  ibrav = 0, nat = 6, ntyp = 3
/
ATOMIC_SPECIES
B 10.81 B.upf
Pa 231.04 Pa.upf
Ti 47.87 Ti.upf
CELL_PARAMETERS angstrom
4.585 0.000 0.000
2.292 3.971 0.000
2.292 1.324 3.744
ATOMIC_POSITIONS angstrom
B 3.183 3.457 2.444
B 4.585 2.647 0.154
B 4.585 1.028 2.444
B 5.987 3.457 2.444
Pa 2.292 1.324 0.936
Ti 0.000 0.000 0.000
! - formation energy (eV per atom) = 0.310